An optimized crystal structure of Ba4CrCu, computed with PBE-GGA.

Cell lengths 10.259, 10.259, 10.259 Å; angles 90.00, 90.00, 90.00 degrees
Space group F-43m (No. 216)
One atom of each set of equivalent atoms:
Ba: 0.125 0.125 0.125
Cr: 0.250 0.250 0.750
Cu: 0.000 0.000 0.500

Properties
final energy	-62.380	eV for the cell shown
DOS at the Fermi energy	34.2	states/eV per cell

An optimized crystal structure of BaCr3Cu, computed with PBE-GGA.

Cell lengths 4.929, 4.929, 4.929 Å; angles 90.00, 90.00, 90.00 degrees
Space group Pm-3m (No. 221)
One atom of each set of equivalent atoms:
Ba: 0.000 0.000 0.000
Cr: 0.000 0.500 0.500
Cu: 0.500 0.500 0.500

Properties
relative energy among the computed polymorphs	0.000	eV/atom
DOS at the Fermi energy	1.3	states/eV per cell

An optimized crystal structure of BaCrCu2, computed with PBE-GGA.

Cell lengths 3.367, 3.367, 7.364 Å; angles 90.00, 90.00, 90.00 degrees
Space group P4mm (No. 99)
One atom of each set of equivalent atoms:
Ba: 0.000 0.000 0.000
Cr: 0.500 0.500 0.357
Cu: 0.000 0.000 0.532
Cu: 0.500 0.500 0.691

Properties
final energy	-17.650	eV for the cell shown
DOS at the Fermi energy	1.8	states/eV per cell

An optimized crystal structure of BaCrCu2, computed with PBE-GGA.

Cell lengths 3.455, 3.455, 7.036 Å; angles 90.00, 90.00, 90.00 degrees
Space group P4/mmm (No. 123)
One atom of each set of equivalent atoms:
Ba: 0.000 0.000 0.000
Cr: 0.000 0.000 0.500
Cu: 0.500 0.500 0.329

Properties
final energy	-18.058	eV for the cell shown
DOS at the Fermi energy	3.0	states/eV per cell

An optimized crystal structure of BaCrCu2, computed with PBE-GGA.

Cell lengths 7.700, 4.442, 6.130 Å; angles 90.00, 114.62, 90.00 degrees
Space group C2/m (No. 12)
One atom of each set of equivalent atoms:
Ba: 0.000 0.000 0.000
Cr: 0.000 0.500 0.500
Cu: 0.188 0.000 0.565

Properties
final energy	-37.453	eV for the cell shown
DOS at the Fermi energy	6.6	states/eV per cell

An optimized crystal structure of BaCrCu2, computed with PBE-GGA.

Cell lengths 4.324, 4.324, 9.400 Å; angles 90.00, 90.00, 90.00 degrees
Space group I-4m2 (No. 119)
One atom of each set of equivalent atoms:
Ba: 0.000 0.000 0.000
Cr: 0.000 0.500 0.750
Cu: 0.000 0.000 0.500
Cu: 0.000 0.500 0.250

Properties
final energy	-33.991	eV for the cell shown
DOS at the Fermi energy	3.3	states/eV per cell

Which of these has the lowest DOS at the Fermi energy? BaCr3Cu